# BaCdSn2Au

A relaxed structure of BaCdSn2Au (GGA-PBE, the Open Quantum Materials Database).

Unit cell a=4.9844 b=4.9844 c=11.6606 alpha=90.00 beta=90.00 gamma=90.00
With the nearest neighbours (Å) after each atom.
Sites, in units of the cell vectors:
Ba (0.2500, 0.2500, 0.2352)  4 Au 3.71, 4 Cd 3.80, 9 Sn 3.81-4.05
Ba (0.7500, 0.7500, 0.7648)  4 Au 3.71, 4 Cd 3.80, 9 Sn 3.81-4.05
Cd (0.2500, 0.2500, 0.6424)  5 Sn 2.86-2.99
Cd (0.7500, 0.7500, 0.3576)  5 Sn 2.86-2.99
Sn (0.2500, 0.2500, 0.8879)  4 Au 2.81, 1 Cd 2.86
Sn (0.2500, 0.7500, 0.5000)  4 Cd 2.99
Sn (0.7500, 0.2500, 0.5000)  4 Cd 2.99
Sn (0.7500, 0.7500, 0.1121)  4 Au 2.81, 1 Cd 2.86
Au (0.2500, 0.7500, 0.0000)  4 Sn 2.81
Au (0.7500, 0.2500, 0.0000)  4 Sn 2.81

Summary:
uncorrected energy = -3.30 eV per atom